Entry from the Alexandria database: a relaxed TiAgF4 crystal (PBE).

Calculated values
* volume: 18.42 A^3/atom
* raw formation energy: -2.623 eV/atom

abc: 17.0710 3.8878 6.7241
angles: 90.00 97.77 90.00
With the nearest neighbours (Å) after each atom.
Space group C2/m (No. 12)
Symmetry-distinct sites (fractional):
Ti 0.0746 0.0000 0.3714 [4 per cell]  5 F 1.78-1.99
Ag 0.2202 0.0000 0.8688 [4 per cell]  1 F 2.50, 2 Ag 2.73
F 0.0427 0.0000 0.6575 [4 per cell]  2 Ti 1.99-2.07
F 0.0721 0.5000 0.3805 [4 per cell]  2 Ti 1.95
F 0.0836 0.0000 0.1103 [4 per cell]  1 Ti 1.78
F 0.1763 0.0000 0.4987 [4 per cell]  1 Ti 1.83